Entry 1:
The following is a PBE-GGA calculation of an optimized crystal structure of Y2Re3Si4, from the Alexandria database.

Its raw total energy is -8.3567 eV per atom.

The structure belongs to space group Fmmm (No. 69); the cell edges are 5.383, 9.412 and 12.514 Å and the angles 90.00°, 90.00° and 90.00°. The inequivalent atoms are Y at (0.000, 0.000, 0.140), Re at (0.000, 0.000, 0.500), Re at (0.250, 0.250, 0.000) and Si at (0.000, 0.174, 0.338).

Entry 2:
The following is a PBE-GGA calculation of an optimized crystal structure of YReSi2, from the Alexandria database.

Its raw total energy is -7.7627 eV per atom.

The structure belongs to space group P4/mmm (No. 123); the cell edges are 3.137, 3.137 and 6.863 Å and the angles 90.00°, 90.00° and 90.00°. The inequivalent atoms are Y at (0.000, 0.000, 0.000), Re at (0.000, 0.000, 0.500) and Si at (0.500, 0.500, 0.306).

Entry 3:
The following is a PBE-GGA calculation of an optimized crystal structure of Y2ReSi, from the Alexandria database.

Its raw total energy is -7.6726 eV per atom.

The structure belongs to space group R3m (No. 160, hexagonal axes); the cell edges are 3.5878, 3.5878 and 25.7284 Å and the angles 90.00°, 90.00° and 120.00°. The inequivalent atoms are Y at (0.0000, 0.0000, 0.0000), Y at (0.0000, 0.0000, 0.2062), Re at (0.0000, 0.0000, 0.4551) and Si at (0.0000, 0.0000, 0.7411).

Entry 4:
The following is a PBE-GGA calculation of an optimized crystal structure of YReSi2, from the Alexandria database.

Its raw total energy is -7.3498 eV per atom.

The structure belongs to space group Cmmm (No. 65); the cell edges are 5.847, 6.485 and 3.578 Å and the angles 90.00°, 90.00° and 90.00°. The inequivalent atoms are Y at (0.000, 0.000, 0.000), Re at (0.000, 0.500, 0.000) and Si at (0.250, 0.250, 0.500).